Entry one
The following is a PBE calculation of crystalline Sc2HPt2 at its relaxed geometry, from Alexandria.

## Properties
size of the total moment = 0.000 μB/atom
crystal system = tetragonal
density = 7.97 Mg/m³

Structure (CIF):
```
data_Sc2HPt2
_chemical_formula_sum 'Sc4 H2 Pt4'
_space_group_name_H-M_alt 'I 4/m m m'
_space_group_IT_number 139
_space_group_name_Hall '-I 4 2'
_cell_length_a 3.7744
_cell_length_b 3.7744
_cell_length_c 14.0658
_cell_angle_alpha 90.00
_cell_angle_beta 90.00
_cell_angle_gamma 90.00
loop_
_atom_site_label
_atom_site_fract_x
_atom_site_fract_y
_atom_site_fract_z
Sc1 0.0000 0.0000 0.1148
H1 0.0000 0.0000 0.5000
Pt1 0.0000 0.5000 0.2500
```

***

Entry two
The following is a PBE calculation of crystalline Sc2HPt2 at its relaxed geometry, from Alexandria.

## Properties
size of the total moment = 0.000 μB/atom
crystal system = tetragonal
density = 8.96 Mg/m³

Structure (CIF):
```
data_Sc2HPt2
_chemical_formula_sum 'Sc4 H2 Pt4'
_space_group_name_H-M_alt 'P 4/m b m'
_space_group_IT_number 127
_space_group_name_Hall '-P 4 2ab'
_cell_length_a 7.0032
_cell_length_b 7.0032
_cell_length_c 3.6371
_cell_angle_alpha 90.00
_cell_angle_beta 90.00
_cell_angle_gamma 90.00
loop_
_atom_site_label
_atom_site_fract_x
_atom_site_fract_y
_atom_site_fract_z
Sc1 0.1729 0.3271 0.0000
H1 0.0000 0.0000 0.0000
Pt1 0.1346 0.6346 0.5000
```

***

Quick ranking, most stable first: entry two, entry one.

***

Entry one
The following is a PBE calculation of crystalline Sc2ZnHPt at its relaxed geometry, from Alexandria.

## Properties
size of the total moment = 0.000 μB/atom
crystal system = tetragonal
density = 7.62 Mg/m³

Structure (CIF):
```
data_Sc2ZnHPt
_chemical_formula_sum 'Sc2 Zn1 H1 Pt1'
_space_group_name_H-M_alt 'P 4/m m m'
_space_group_IT_number 123
_space_group_name_Hall '-P 4 2'
_cell_length_a 4.6093
_cell_length_b 4.6093
_cell_length_c 3.6052
_cell_angle_alpha 90.00
_cell_angle_beta 90.00
_cell_angle_gamma 90.00
loop_
_atom_site_label
_atom_site_fract_x
_atom_site_fract_y
_atom_site_fract_z
Sc1 0.0000 0.5000 0.0000
Zn1 0.0000 0.0000 0.5000
H1 0.5000 0.5000 0.0000
Pt1 0.5000 0.5000 0.5000
```

***

Entry two
The following is a PBE calculation of crystalline Sc2ZnHPt at its relaxed geometry, from Alexandria.

## Properties
size of the total moment = 0.000 μB/atom
crystal system = tetragonal
density = 7.89 Mg/m³

Structure (CIF):
```
data_Sc2ZnHPt
_chemical_formula_sum 'Sc2 Zn1 H1 Pt1'
_space_group_name_H-M_alt 'P 4/m m m'
_space_group_IT_number 123
_space_group_name_Hall '-P 4 2'
_cell_length_a 4.4788
_cell_length_b 4.4788
_cell_length_c 3.6880
_cell_angle_alpha 90.00
_cell_angle_beta 90.00
_cell_angle_gamma 90.00
loop_
_atom_site_label
_atom_site_fract_x
_atom_site_fract_y
_atom_site_fract_z
Sc1 0.0000 0.5000 0.0000
Zn1 0.0000 0.0000 0.5000
H1 0.0000 0.0000 0.0000
Pt1 0.5000 0.5000 0.5000
```

***

Quick ranking, most stable first: entry one, entry two.